# CaSn2Au8

CaSn2Au8 after structural relaxation (PBE, Alexandria).

abc: 9.560 9.560 4.828
angles: 104.01 104.01 33.57
Fractional positions:
Ca 0.000 0.000 0.000
Sn 0.256 0.256 0.755
Sn 0.744 0.744 0.245
Au 0.153 0.661 0.409
Au 0.175 0.175 0.176
Au 0.339 0.847 0.591
Au 0.418 0.418 0.920
Au 0.582 0.582 0.080
Au 0.661 0.153 0.409
Au 0.825 0.825 0.824
Au 0.847 0.339 0.591

Properties
V, Å³ per atom: 21.5
Energy, eV/cell: -38.90
Crystal system: monoclinic

---

# BaGaAgPd

BaGaAgPd after structural relaxation (PBE, Alexandria).

abc: 6.394 6.394 6.394
angles: 41.51 41.51 41.51
Fractional positions:
Ba 0.000 0.000 0.000
Ga 0.199 0.199 0.199
Ag 0.806 0.806 0.806
Pd 0.530 0.530 0.530

Properties
V, Å³ per atom: 25.9
Energy, eV/cell: -14.70
Crystal system: trigonal

---

# LiPPd6

LiPPd6 after structural relaxation (PBE, Alexandria).

abc: 7.542 7.542 7.542
angles: 149.11 149.11 44.25
Fractional positions:
Li 0.000 0.000 0.000
P 0.500 0.500 0.000
Pd 0.106 0.606 0.500
Pd 0.253 0.253 0.000
Pd 0.394 0.894 0.500
Pd 0.606 0.106 0.500
Pd 0.747 0.747 0.000
Pd 0.894 0.394 0.500

Properties
V, Å³ per atom: 14.1
Energy, eV/cell: -41.44
Crystal system: tetragonal

---

# NdHo4Tm2

NdHo4Tm2 after structural relaxation (PBE, Alexandria).

abc: 6.147 6.481 11.398
angles: 90.00 104.46 90.00
Fractional positions:
Nd 0.043 0.250 0.363
Nd 0.957 0.750 0.637
Ho 0.153 0.250 0.664
Ho 0.293 0.750 0.926
Ho 0.349 0.507 0.212
Ho 0.349 0.993 0.212
Ho 0.651 0.007 0.788
Ho 0.651 0.493 0.788
Ho 0.707 0.250 0.074
Ho 0.847 0.750 0.336
Tm 0.145 0.250 0.949
Tm 0.392 0.750 0.505
Tm 0.608 0.250 0.495
Tm 0.855 0.750 0.051

Properties
V, Å³ per atom: 31.4
Energy, eV/cell: -62.22
Crystal system: monoclinic

---

# K2TiMnS4

K2TiMnS4 after structural relaxation (PBE, Alexandria).

abc: 13.406 11.981 7.274
angles: 84.49 62.82 32.69
Fractional positions:
K 0.054 0.054 0.696
K 0.304 0.304 0.946
K 0.696 0.696 0.054
K 0.946 0.946 0.304
Ti 0.375 0.375 0.375
Ti 0.625 0.625 0.625
Mn 0.125 0.125 0.125
Mn 0.875 0.875 0.875
S 0.019 0.338 0.429
S 0.286 0.571 0.662
S 0.338 0.019 0.714
S 0.429 0.714 0.019
S 0.571 0.286 0.981
S 0.662 0.981 0.286
S 0.714 0.429 0.338
S 0.981 0.662 0.571

Properties
V, Å³ per atom: 28.1
Energy, eV/cell: -90.31
Raw formation energy, eV/atom: -1.173
Crystal system: orthorhombic

---

# In2Ag2Se

In2Ag2Se after structural relaxation (PBE, Alexandria).

abc: 8.781 8.781 2.915
angles: 90.00 90.00 90.00
Fractional positions:
In 0.191 0.309 0.000
In 0.309 0.809 0.000
In 0.691 0.191 0.000
In 0.809 0.691 0.000
Ag 0.110 0.610 0.500
Ag 0.390 0.110 0.500
Ag 0.610 0.890 0.500
Ag 0.890 0.390 0.500
Se 0.000 0.000 0.000
Se 0.500 0.500 0.000

Properties
V, Å³ per atom: 22.5
Energy, eV/cell: -29.10
Raw formation energy, eV/atom: 0.023
Crystal system: tetragonal